Entry 1:
# NbSe2IN

NbSe2IN after structural relaxation (PBE, Alexandria via LeMat-Bulk).

Calculated values
Energy above the lowest structure with this stoichiometry in eV/atom: 0.000
ΔE_f (raw) in eV/atom: 0.170

Cell lengths 5.292, 5.292, 3.952 Å; angles 90.00, 90.00, 90.00 degrees
Sites, in units of the cell vectors:
I (0.500, 0.500, 0.500)
Nb (0.000, 0.000, 0.000)
Se (0.000, 0.500, 0.000)
Se (0.500, 0.000, 0.000)
N (0.000, 0.000, 0.500)

***

Entry 2:
# Pr2Sn3Pd5

Pr2Sn3Pd5 after structural relaxation (PBE, Alexandria via LeMat-Bulk).

Calculated values
Formation enthalpy at 0 K in eV per atom: -0.721
Energy above the lowest structure with this stoichiometry in eV/atom: 0.006

Cell lengths 6.254, 8.955, 8.955 Å; angles 80.95, 69.56, 69.56 degrees
Sites, in units of the cell vectors:
Pr (0.128, 0.599, 0.145)
Pr (0.628, 0.145, 0.599)
Pr (0.872, 0.401, 0.855)
Pr (0.372, 0.855, 0.401)
Sn (0.361, 0.522, 0.755)
Sn (0.861, 0.755, 0.522)
Sn (0.639, 0.478, 0.245)
Sn (0.139, 0.245, 0.478)
Sn (0.250, 0.000, 0.000)
Sn (0.750, 0.000, 0.000)
Pd (0.394, 0.267, 0.945)
Pd (0.894, 0.945, 0.267)
Pd (0.606, 0.733, 0.055)
Pd (0.106, 0.055, 0.733)
Pd (0.476, 0.774, 0.774)
Pd (0.524, 0.226, 0.226)
Pd (0.750, 0.500, 0.500)
Pd (0.250, 0.500, 0.500)
Pd (0.024, 0.226, 0.226)
Pd (0.976, 0.774, 0.774)